# 1
Here is a relaxed structure of Li2FeHg from Alexandria via LeMat-Bulk. Energies are from GGA-PBE.

Output
- formation energy (eV per atom) = 0.160

Cell: 2.752 4.266 5.570 Å, 90.00 100.09 90.00°
Space group Pm (No. 6)
Asymmetric unit:
Li  0.000  0.000  0.000 [1 per cell]
Li  0.405  0.500  0.249 [1 per cell]
Fe  0.913  0.000  0.498 [1 per cell]
Hg  0.469  0.500  0.740 [1 per cell]

=====

# 2
Here is a relaxed structure of BeFe2Re from Alexandria via LeMat-Bulk. Energies are from GGA-PBE.

Output
- formation energy (eV per atom) = 0.104

Cell: 3.889 3.889 2.965 Å, 90.00 90.00 90.00°
Space group P4/mmm (No. 123)
Asymmetric unit:
Be  0.000  0.000  0.000 [1 per cell]
Fe  0.000  0.500  0.500 [2 per cell]
Re  0.500  0.500  0.000 [1 per cell]

=====

# 3
Here is a relaxed structure of PrPa2MoC4 from Alexandria via LeMat-Bulk. Energies are from GGA-PBE.

Output
- formation energy (eV per atom) = -0.122

Cell: 3.691 12.076 11.965 Å, 90.00 90.00 90.00°
Space group Cmcm (No. 63)
Asymmetric unit:
Pr  0.000  0.120  0.250 [4 per cell]
Pa  0.000  0.369  0.043 [8 per cell]
Mo  0.000  0.144  0.750 [4 per cell]
C  0.000  0.000  0.000 [4 per cell]
C  0.000  0.256  0.622 [8 per cell]
C  0.000  0.430  0.250 [4 per cell]

=====

# 4
Here is a relaxed structure of CoNi2Sb from Alexandria via LeMat-Bulk. Energies are from GGA-PBE.

Output
- E (eV for the cell shown) = -45.992

Cell: 3.815 3.815 7.051 Å, 90.00 90.00 90.00°
Space group I-4m2 (No. 119)
Asymmetric unit:
Co  0.000  0.000  0.000 [2 per cell]
Ni  0.000  0.000  0.500 [2 per cell]
Ni  0.000  0.500  0.250 [2 per cell]
Sb  0.000  0.500  0.750 [2 per cell]

=====

# 5
Here is a relaxed structure of Cs3BaMg2F9 from Alexandria via LeMat-Bulk. Energies are from GGA-PBE.

Output
- E (eV for the cell shown) = -73.261

Cell: 6.3154 6.3154 7.9346 Å, 90.00 90.00 120.00°
Space group P-3m1 (No. 164)
Asymmetric unit:
Cs  0.0000  0.0000  0.0000 [1 per cell]
Cs  0.3333  0.6667  0.6847 [2 per cell]
Ba  0.0000  0.0000  0.5000 [1 per cell]
Mg  0.3333  0.6667  0.1487 [2 per cell]
F  0.0000  0.5000  0.0000 [3 per cell]
F  0.1846  0.3692  0.2984 [6 per cell]

=====

# 6
Here is a relaxed structure of PrScHO2 from Alexandria via LeMat-Bulk. Energies are from GGA-PBE.

Output
- E (eV for the cell shown) = -144.306

Cell: 5.836 5.836 7.698 Å, 90.00 90.00 90.00°
Space group I4/mcm (No. 140)
Asymmetric unit:
Pr  0.000  0.500  0.250 [4 per cell]
Sc  0.000  0.000  0.000 [4 per cell]
H  0.000  0.000  0.250 [4 per cell]
O  0.186  0.314  0.000 [8 per cell]

=====

# 7
Here is a relaxed structure of PbSIN2 from Alexandria via LeMat-Bulk. Energies are from GGA-PBE.

Output
- excess energy over the best structure of this formula in the dataset (meV per atom) = 385

Cell: 4.447 4.447 7.368 Å, 90.00 90.00 90.00°
Space group P4/mmm (No. 123)
Asymmetric unit:
Pb  0.000  0.000  0.000 [1 per cell]
S  0.500  0.500  0.500 [1 per cell]
I  0.000  0.000  0.500 [1 per cell]
N  0.000  0.500  0.000 [2 per cell]

=====

# 8
Here is a relaxed structure of Tm3HgTe2 from Alexandria via LeMat-Bulk. Energies are from GGA-PBE.

Output
- excess energy over the best structure of this formula in the dataset (meV per atom) = 13

Cell: 8.783 12.184 25.313 Å, 90.00 90.00 90.00°
Space group Fddd (No. 70, origin choice 2)
Asymmetric unit:
Tm  0.112  0.375  0.375 [16 per cell]
Tm  0.118  0.369  0.211 [32 per cell]
Hg  0.125  0.125  0.042 [16 per cell]
Te  0.125  0.125  0.378 [16 per cell]
Te  0.125  0.125  0.544 [16 per cell]

=====

Number 7 is which compound?
PbSIN2

=====

What is the formula in the seventh record?
PbSIN2